Entry 1:
A plane-wave DFT calculation with PBE was carried out for a geometry-optimized SrCo5P3 structure.

```
18
Lattice="3.6141 0.0000 0.0000 -1.8071 5.7799 0.0000 0.0000 0.0000 11.4732" Properties=species:S:1:pos:R:3 pbc="T T T"
P 1.8071 1.3638 5.3140
Co 1.8071 0.6305 9.8379
Co 0.0000 0.0000 5.7366
Co 0.0000 5.1493 4.1012
P 0.0000 4.4161 6.1592
Co 0.0000 5.1493 1.6354
Co 1.8071 0.6305 7.3720
Sr 0.0000 1.8929 2.8683
Co 0.0000 0.0000 0.0000
P 0.0000 1.2272 8.6049
P 0.0000 4.4161 11.0506
P 1.8071 1.3638 0.4226
Co 0.0000 2.2754 10.7228
P 1.8071 4.5527 2.8683
Sr 1.8071 3.8870 8.6049
Co 1.8071 3.5044 4.9862
Co 1.8071 3.5044 0.7504
Co 0.0000 2.2754 6.4870
```

Summary:
Formation energy from the elements ... -668 meV per atom
Calculated total energy ... -118.90 eV/cell

Entry 2:
A plane-wave DFT calculation with PBE was carried out for a geometry-optimized SrCoP structure.

```
6
Lattice="-2.5445 1.6150 -2.3441 -0.9050 -3.4399 -1.3876 -4.5879 0.0490 8.1233" Properties=species:S:1:pos:R:3 pbc="T T T"
P -7.1398 -1.6531 3.5019
P -0.8976 -0.1228 0.8897
Sr -3.5592 -1.1634 -0.0474
Co -1.2722 0.8075 -1.1720
Sr -4.4782 -0.6125 4.4390
Co -0.4525 -1.7200 -0.6938
```

Summary:
Formation energy from the elements ... -660 meV per atom
Calculated total energy ... -32.36 eV/cell

Entry 3:
A plane-wave DFT calculation with PBE was carried out for a geometry-optimized SrCoP structure.

```
3
Lattice="4.8293 0.0000 0.0000 2.4147 4.1823 0.0000 2.4147 1.3941 3.9431" Properties=species:S:1:pos:R:3 pbc="T T T"
P 4.8293 2.7882 1.9716
Co 0.0000 0.0000 0.0000
Sr 2.4147 1.3941 0.9858
```

Summary:
Formation energy from the elements ... 755 meV per atom
Calculated total energy ... -11.93 eV/cell

Entry 4:
A plane-wave DFT calculation with PBE was carried out for a geometry-optimized SrCoP3 structure.

```
5
Lattice="-1.3205 4.0394 1.6648 -4.3275 -0.9703 -1.0784 -0.6005 -1.8905 4.1106" Properties=species:S:1:pos:R:3 pbc="T T T"
P -0.3003 -0.9452 2.0553
P -0.6603 2.0197 0.8324
P -2.1638 -0.4851 -0.5392
Sr -3.1243 0.5893 2.3485
Co 0.0000 0.0000 0.0000
```

Summary:
Distance to the lowest polymorph of the same formula ... 0.0 meV/atom
Formation energy from the elements ... -75 meV per atom
Calculated total energy ... -25.39 eV/cell

Entry 5:
A plane-wave DFT calculation with PBE was carried out for a geometry-optimized SrCoP structure.

```
6
Lattice="-1.0631 3.5919 0.7420 -1.0743 -1.0436 3.5127 8.2829 1.8167 3.0731" Properties=species:S:1:pos:R:3 pbc="T T T"
P 4.6812 2.9393 2.3050
Co 4.1415 0.9084 1.5365
P 2.5330 0.1516 2.8954
Sr 1.1587 2.1667 0.9981
Sr 6.0555 0.9242 4.2023
Co 3.0727 2.1825 3.6639
```

Summary:
Formation energy from the elements ... -790 meV per atom
Calculated total energy ... -33.13 eV/cell

Entry 6:
A plane-wave DFT calculation with PBE was carried out for a geometry-optimized SrCo3P structure.

```
5
Lattice="4.3608 0.0000 0.0000 0.0000 4.3608 0.0000 0.0000 0.0000 4.3608" Properties=species:S:1:pos:R:3 pbc="T T T"
Sr 2.1804 2.1804 2.1804
Co 2.1804 0.0000 0.0000
Co 0.0000 0.0000 2.1804
P 0.0000 0.0000 0.0000
Co 0.0000 2.1804 0.0000
```

Summary:
Distance to the lowest polymorph of the same formula ... 0.0 meV/atom
Formation energy from the elements ... 5 meV per atom
Calculated total energy ... -28.38 eV/cell

Entry 7:
A plane-wave DFT calculation with PBE was carried out for a geometry-optimized Sr3CoP structure.

```
5
Lattice="5.8153 0.0000 0.0000 0.0000 5.8153 0.0000 0.0000 0.0000 5.8153" Properties=species:S:1:pos:R:3 pbc="T T T"
P 0.0000 0.0000 0.0000
Sr 0.0000 2.9077 0.0000
Co 2.9077 2.9077 2.9077
Sr 2.9077 0.0000 0.0000
Sr 0.0000 0.0000 2.9077
```

Summary:
Distance to the lowest polymorph of the same formula ... 0.0 meV/atom
Formation energy from the elements ... 52 meV per atom
Calculated total energy ... -17.30 eV/cell

Entry 8:
A plane-wave DFT calculation with PBE was carried out for a geometry-optimized SrCo3P structure.

```
5
Lattice="-0.0374 3.9187 -2.5568 -4.2395 1.0535 1.6768 1.9799 2.3299 3.5421" Properties=species:S:1:pos:R:3 pbc="T T T"
Co -2.1197 0.5268 0.8384
Co -0.0187 1.9594 -1.2784
P -1.1485 3.6511 1.3311
Sr 0.0000 0.0000 0.0000
Co 0.9900 1.1650 1.7710
```

Summary:
Distance to the lowest polymorph of the same formula ... 2340.0 meV/atom
Formation energy from the elements ... 2345 meV per atom
Calculated total energy ... -16.68 eV/cell